The following is a DFT calculation (PBE) of a relaxed MnGaPCl crystal.

Calculated values
DFT total energy (eV per atom): -5.11
Energy relative to the lowest polymorph listed for this composition (meV/atom): 0
Calculated volume (Å³/cell): 76.1
D(E_F) (states/eV/f.u.): 2.20

POSCAR file:
```
MnGaPCl
1.0
2.960 0.000 0.000
0.000 3.146 0.000
0.901 1.333 8.177
Mn Ga P Cl
1 1 1 1
Cartesian
0.000 0.000 0.000
2.381 1.328 6.237
1.480 1.573 0.829
2.380 2.901 4.506
```